Here is an optimized crystal structure of Nd9Y2Sc from Alexandria. Energies are from GGA-PBE.

Computed properties:
Space-group type: P4/mmm, No. 123
Formation enthalpy at 0 K: 0.02 eV per atom
M_tot: 0.00 Bohr magnetons per cell

Unit cell a=5.1268 b=5.1268 c=15.3987 alpha=90.00 beta=90.00 gamma=90.00
Last column: nearest neighbours and their distance in Å.
Element x y z (fractional)
Nd (0.0000, 0.0000, 0.0000)  8 Nd 3.58, 4 Sc 3.63
Nd (0.0000, 0.0000, 0.3309)  4 Y 3.63, 8 Nd 3.65
Nd (0.0000, 0.0000, 0.6691)  4 Y 3.63, 8 Nd 3.65
Nd (0.0000, 0.5000, 0.1619)  8 Nd 3.58-3.65, 2 Sc 3.58, 2 Y 3.66
Nd (0.0000, 0.5000, 0.5000)  8 Nd 3.63-3.65, 4 Y 3.65
Nd (0.0000, 0.5000, 0.8381)  8 Nd 3.58-3.65, 2 Sc 3.58, 2 Y 3.66
Nd (0.5000, 0.0000, 0.1619)  8 Nd 3.58-3.65, 2 Sc 3.58, 2 Y 3.66
Nd (0.5000, 0.0000, 0.5000)  8 Nd 3.63-3.65, 4 Y 3.65
Nd (0.5000, 0.0000, 0.8381)  8 Nd 3.58-3.65, 2 Sc 3.58, 2 Y 3.66
Y (0.5000, 0.5000, 0.3311)  12 Nd 3.63-3.66
Y (0.5000, 0.5000, 0.6689)  12 Nd 3.63-3.66
Sc (0.5000, 0.5000, 0.0000)  12 Nd 3.58-3.63